Record 1
! KTlFe2Cl8 PBE relaxed; values from VASP
! Crystal system   monoclinic
! Volume   430.7 Å³/cell
! Raw formation energy   -1.064 eV/atom
! Size of the total moment   10.00 Bohr magnetons per cell
&SYSTEM
  ibrav = 0, nat = 12, ntyp = 4
/
ATOMIC_SPECIES
K 39.10 K.upf
Tl 204.38 Tl.upf
Fe 55.84 Fe.upf
Cl 35.45 Cl.upf
CELL_PARAMETERS angstrom
5.542 -3.780 0.000
5.542 3.780 0.000
-0.053 0.000 10.279
ATOMIC_POSITIONS angstrom
K 0.000 0.000 0.000
Tl -0.026 0.000 5.140
Fe 4.318 0.000 7.718
Fe 6.714 0.000 2.562
Cl 5.416 1.812 2.554
Cl 5.616 1.812 7.725
Cl 3.115 0.000 9.555
Cl 3.153 0.000 5.856
Cl 7.879 0.000 4.424
Cl 7.917 0.000 0.724
Cl 5.416 -1.812 2.554
Cl 5.616 -1.812 7.725

Record 2
! KTmFeCl6 PBE relaxed; values from VASP
! Crystal system   trigonal
! Volume   256.4 Å³/cell
! Raw formation energy   -1.571 eV/atom
! Size of the total moment   0.10 Bohr magnetons per cell
&SYSTEM
  ibrav = 0, nat = 9, ntyp = 4
/
ATOMIC_SPECIES
K 39.10 K.upf
Tm 168.93 Tm.upf
Fe 55.84 Fe.upf
Cl 35.45 Cl.upf
CELL_PARAMETERS angstrom
6.459 0.000 0.000
-3.229 5.593 0.000
0.000 0.000 7.098
ATOMIC_POSITIONS angstrom
K 0.000 0.000 0.000
Tm 3.229 1.864 3.549
Fe 0.000 3.729 3.549
Cl -1.049 2.124 4.963
Cl -1.915 3.623 2.135
Cl 1.049 2.124 2.135
Cl -0.865 5.440 4.963
Cl 1.915 3.623 4.963
Cl 0.865 5.440 2.135

Record 3
! KVFeCl5 PBE relaxed; values from VASP
! Crystal system   monoclinic
! Volume   415.3 Å³/cell
! Raw formation energy   -1.163 eV/atom
! DOS(E_F)   1.13 states/eV/atom
! Size of the total moment   13.18 Bohr magnetons per cell
&SYSTEM
  ibrav = 0, nat = 16, ntyp = 4
/
ATOMIC_SPECIES
K 39.10 K.upf
V 50.94 V.upf
Fe 55.84 Fe.upf
Cl 35.45 Cl.upf
CELL_PARAMETERS angstrom
4.249 -5.775 0.000
4.249 5.775 0.000
-3.496 0.000 8.463
ATOMIC_POSITIONS angstrom
K 1.627 3.926 6.347
K 3.375 -3.926 2.116
V 4.249 0.000 0.000
V 2.501 0.000 4.232
Fe 3.375 3.613 2.116
Fe 1.627 -3.613 6.347
Cl -1.596 0.759 7.902
Cl 1.960 2.291 3.378
Cl 0.152 -0.759 3.670
Cl 4.790 2.291 0.853
Cl 1.627 0.789 6.347
Cl 3.375 -0.789 2.116
Cl 0.212 -2.291 7.610
Cl 4.850 0.759 4.793
Cl 3.043 -2.291 5.085
Cl 6.598 -0.759 0.561